Entry 1:
Material: La2SbIr
Method: DFT, PBE
State: optimized geometry

Values from the calculation:
The value obtained for the formation energy without anion corrections is -2.77 eV per formula unit.

The structure in POSCAR format:
```
La2SbIr
1.0
7.9473 -0.0008 -0.0019
-2.9829 4.2438 -0.0058
1.9815 1.3965 3.1399
Ir La Sb
1 2 1
Direct
0.5000 0.5000 0.0000
0.0000 0.0000 0.0000
0.5000 0.0000 0.5000
0.0000 0.5000 0.5000
```


Entry 2:
Material: CaCrPd
Method: DFT, PBE
State: optimized geometry

Values from the calculation:
As for the energy relative to the elements: 1.03 kcal/mol of atoms.

The structure in POSCAR format:
```
CaCrPd
1.0
-0.5295 -1.0541 -4.3395
3.2403 -2.0469 0.1019
-1.7803 -6.5464 4.1345
Cr Ca Pd
2 2 2
Direct
0.2199 0.0797 0.4488
0.2949 0.6161 0.6001
0.5531 0.2740 0.1155
0.8857 0.9770 0.7811
0.0941 0.7263 0.1974
0.7192 0.5913 0.4481
```


Entry 3:
Material: LiCeZrRu
Method: DFT, PBE
State: optimized geometry

Values from the calculation:
As for the energy relative to the elements: -2.52 kcal/mol of atoms.

The structure in POSCAR format:
```
LiCeZrRu
1.0
4.8130 0.0000 0.0000
2.4065 4.1682 0.0000
2.4065 1.3894 3.9298
Ru Zr Ce Li
1 1 1 1
Direct
0.7500 0.7500 0.7500
0.5000 0.5000 0.5000
0.0000 0.0000 0.0000
0.2500 0.2500 0.2500
```


Entry 4:
Material: Y2MgCl
Method: DFT, PBE
State: optimized geometry

Values from the calculation:
The value obtained for the formation energy without anion corrections is 0.69 eV per formula unit.

The structure in POSCAR format:
```
Y2MgCl
1.0
-4.9894 -1.8219 1.3705
-2.1335 -4.3503 -2.5719
-0.5443 -4.7654 2.6620
Cl Mg Y
1 1 2
Direct
0.5000 0.5000 0.5000
0.7500 0.7500 0.7500
0.0000 0.0000 0.0000
0.2500 0.2500 0.2500
```


Entry 5:
Material: SmZn10Ag
Method: DFT, PBE
State: optimized geometry

Values from the calculation:
As for the energy relative to the elements: -2.56 kcal/mol of atoms.

The structure in POSCAR format:
```
SmZn10Ag
1.0
-2.9341 -0.6384 3.1772
3.7479 -0.6977 3.3209
0.0406 9.0937 1.8646
Sm Zn Ag
1 10 1
Direct
0.0000 0.5000 0.5000
0.0000 0.0000 0.2994
0.0000 0.5000 0.8473
0.0000 0.5000 0.1527
0.0000 0.0000 0.7006
0.5000 0.0000 0.5000
0.5000 0.5000 0.0000
0.5000 0.2576 0.2604
0.5000 0.7424 0.7396
0.5000 0.7424 0.2604
0.5000 0.2576 0.7396
0.0000 0.0000 0.0000
```


Entry 6:
Material: Zr3GeSe3
Method: DFT, PBE
State: optimized geometry

Values from the calculation:
The value obtained for the formation energy without anion corrections is -8.40 eV per formula unit.

The structure in POSCAR format:
```
Zr3GeSe3
1.0
8.8675 -0.0023 -3.1366
-4.4356 7.6779 -3.1363
-0.0014 -0.0022 9.4055
Zr Ge Se
12 4 12
Direct
0.9939 0.4969 0.2470
0.5031 0.0061 0.2530
0.2500 0.0031 0.4969
0.9969 0.7500 0.0031
0.9969 0.2470 0.4939
0.7530 0.0031 0.0061
0.7470 0.4939 0.4969
0.7531 0.7500 0.2469
0.5061 0.2530 0.0031
0.2500 0.2469 0.2531
0.7469 0.2531 0.7500
0.5031 0.4969 0.7500
0.7500 0.5000 0.0000
0.5000 0.2500 0.5000
0.7500 0.2500 0.2500
0.0000 0.0000 0.2500
0.2449 0.9949 0.9898
0.7500 0.7551 0.7449
0.4898 0.7449 0.9948
0.0051 0.2500 0.9949
0.2551 0.7449 0.2500
0.4949 0.5051 0.2500
0.2449 0.2500 0.7551
0.2551 0.5102 0.5051
0.7500 0.9949 0.5051
0.0102 0.5052 0.7551
0.0051 0.7551 0.5102
0.4949 0.9898 0.7449
```